DFT (meta-GGA SCAN) results for a crystal of NaTa2BeGa relaxed with PBEsol.

abc: 4.640 4.640 4.089
angles: 90.00 90.00 90.00
Sites, in units of the cell vectors:
Na: 0.000 0.000 0.000
Ta: 0.000 0.500 0.000
Ta: 0.500 0.000 0.000
Be: 0.000 0.000 0.500
Ga: 0.500 0.500 0.500

Computed properties:
Total DFT energy (no corrections) (eV per atom): -29.4675
Crystal system: tetragonal

---

DFT (meta-GGA SCAN) results for a crystal of Be2Nb2Ga relaxed with PBEsol.

abc: 6.077 6.077 3.534
angles: 90.00 90.00 90.00
Sites, in units of the cell vectors:
Be: 0.118 0.382 0.000
Be: 0.382 0.882 0.000
Be: 0.618 0.118 0.000
Be: 0.882 0.618 0.000
Nb: 0.178 0.678 0.500
Nb: 0.322 0.178 0.500
Nb: 0.678 0.822 0.500
Nb: 0.822 0.322 0.500
Ga: 0.000 0.000 0.000
Ga: 0.500 0.500 0.000

Computed properties:
Total DFT energy (no corrections) (eV per atom): -18.5603
Crystal system: tetragonal

---

DFT (meta-GGA SCAN) results for a crystal of Be2GaNi2 relaxed with PBEsol.

abc: 6.131 6.131 2.599
angles: 90.00 90.00 90.00
Sites, in units of the cell vectors:
Be: 0.124 0.376 0.000
Be: 0.376 0.876 0.000
Be: 0.624 0.124 0.000
Be: 0.876 0.624 0.000
Ga: 0.000 0.000 0.000
Ga: 0.500 0.500 0.000
Ni: 0.168 0.668 0.500
Ni: 0.332 0.168 0.500
Ni: 0.668 0.832 0.500
Ni: 0.832 0.332 0.500

Computed properties:
Total DFT energy (no corrections) (eV per atom): -11.8778
Crystal system: tetragonal

---

DFT (meta-GGA SCAN) results for a crystal of TaBe2GaNi relaxed with PBEsol.

abc: 4.512 4.512 4.433
angles: 90.00 90.00 90.00
Sites, in units of the cell vectors:
Ta: 0.000 0.000 0.000
Be: 0.000 0.500 0.000
Be: 0.500 0.000 0.000
Ga: 0.500 0.500 0.500
Ni: 0.000 0.000 0.500

Computed properties:
Total DFT energy (no corrections) (eV per atom): -19.9657
Crystal system: tetragonal